Computed, not measured: a crystal of Zr2ScCd relaxed with PBEsol at the meta-GGA SCAN level of DFT.

Summary:
The value obtained for the energy above the lowest structure with this stoichiometry is 0.078 eV per atom. The formation enthalpy at 0 K comes out at -0.0699 eV/atom.

Unit cell a=3.101 b=3.101 c=8.946 alpha=90.00 beta=90.00 gamma=90.00
Sites, in units of the cell vectors:
Sc 0.500 0.500 0.500
Zr 0.000 0.000 0.754
Zr 0.000 0.000 0.246
Cd 0.500 0.500 0.000

Computed, not measured: a crystal of ZnAs2Ru relaxed with PBEsol at the meta-GGA SCAN level of DFT.

Summary:
The formation enthalpy at 0 K comes out at 0.0937 eV/atom.

Unit cell a=2.909 b=2.909 c=9.024 alpha=80.73 beta=80.73 gamma=60.00
Sites, in units of the cell vectors:
As 0.993 0.993 0.020
As 0.765 0.765 0.705
Ru 0.499 0.499 0.503
Zn 0.242 0.242 0.273

Computed, not measured: a crystal of AlInAg2 relaxed with PBEsol at the meta-GGA SCAN level of DFT.

Summary:
The formation enthalpy at 0 K comes out at 0.0341 eV/atom.

Unit cell a=4.156 b=4.156 c=5.079 alpha=114.15 beta=114.15 gamma=90.00
Sites, in units of the cell vectors:
Al 0.500 0.500 0.000
Ag 0.750 0.250 0.500
Ag 0.250 0.750 0.500
In 0.000 0.000 0.000

Computed, not measured: a crystal of ZnSbF3 relaxed with PBEsol at the meta-GGA SCAN level of DFT.

Summary:
The calculation puts the uncorrected formation energy at -1480 meV/atom.

Unit cell a=4.440 b=4.440 c=4.440 alpha=90.00 beta=90.00 gamma=90.00
Sites, in units of the cell vectors:
Sb 0.000 0.000 0.000
Zn 0.500 0.500 0.500
F 0.000 0.500 0.000
F 0.000 0.000 0.500
F 0.500 0.000 0.000

Computed, not measured: a crystal of BeTeAs relaxed with PBEsol at the meta-GGA SCAN level of DFT.

Summary:
The value obtained for the energy above the lowest structure with this stoichiometry is 0.110 eV per atom. The calculation puts the uncorrected formation energy at 361 meV/atom.

Unit cell a=3.503 b=3.503 c=5.827 alpha=100.22 beta=100.22 gamma=114.20
Sites, in units of the cell vectors:
Be 0.348 0.348 0.695
As 0.954 0.954 0.907
Te 0.699 0.699 0.398

Computed, not measured: a crystal of LiSb2IN relaxed with PBEsol at the meta-GGA SCAN level of DFT.

Summary:
The calculation puts the uncorrected formation energy at 632 meV/atom.

Unit cell a=4.726 b=4.726 c=4.967 alpha=90.00 beta=90.00 gamma=90.00
Sites, in units of the cell vectors:
I 0.000 0.000 0.500
Sb 0.000 0.500 0.000
Sb 0.500 0.000 0.000
Li 0.500 0.500 0.500
N 0.000 0.000 0.000

no.,uncorrected energy (eV per cell)
1,-106.33
2,-88.35
3,-103.74
4,-68.80
5,-60.71
6,-119.78